(1)
# NdSiPt

An optimized crystal structure of NdSiPt (PBE, Alexandria via LeMat-Bulk).

Values from the calculation:
V: 21.51 Å³ per atom
Formation energy (no corrections): -1.14 eV/atom
Theoretical density: 9.457 g/cm³
Total magnetization: 0.0 μB per formula unit

Cell: 7.834 7.834 7.834 Å, 148.75 148.75 44.79°
Fractional positions:
Pt 0.337 0.837 0.500
Pt 0.587 0.587 0.000
Si 0.419 0.419 0.000
Si 0.169 0.669 0.500
Nd 0.749 0.249 0.500
Nd 0.999 0.999 0.000

***

(2)
# SmHo6Er12

An optimized crystal structure of SmHo6Er12 (PBE, Alexandria via LeMat-Bulk).

Values from the calculation:
V: 33.68 Å³ per atom
Energy of formation from the pure elements: 8.50 eV per formula unit
Energy above the lowest structure with this stoichiometry: 0.286 eV/atom
Theoretical density: 8.167 g/cm³
Total magnetization: 0.0 μB per formula unit

Cell: 9.232 9.232 9.232 Å, 107.83 107.83 107.83°
Fractional positions:
Er 0.362 0.362 0.143
Er 0.143 0.362 0.362
Er 0.638 0.857 0.638
Er 0.638 0.638 0.857
Er 0.362 0.143 0.362
Er 0.500 0.111 0.889
Er 0.889 0.111 0.500
Er 0.111 0.889 0.500
Er 0.889 0.500 0.111
Er 0.111 0.500 0.889
Er 0.500 0.889 0.111
Er 0.857 0.638 0.638
Ho 0.685 0.685 0.265
Ho 0.315 0.735 0.315
Ho 0.735 0.315 0.315
Ho 0.685 0.265 0.685
Ho 0.315 0.315 0.735
Ho 0.265 0.685 0.685
Sm 0.000 0.000 0.000